(1)
Tb2Ni4P3Pd | PBE | optimized geometry

Values from the calculation:
Its space group is P-4m2, No. 115. Its calculated total energy is -6.253 eV per atom. The value obtained for the magnetic moment is 0.000 μB per cell. As for the formation energy: -0.8726 eV per atom.

Unit cell a=3.924 b=3.924 c=9.666 alpha=90.00 beta=90.00 gamma=90.00
Positions (direct):
Ni: 0.000 0.000 0.000
Ni: 0.500 0.000 0.648
Ni: 0.500 0.500 0.000
Ni: 0.000 0.500 0.352
P: 0.500 0.000 0.873
P: 0.000 0.000 0.500
P: 0.000 0.500 0.127
Pd: 0.500 0.500 0.500
Tb: 0.500 0.000 0.245
Tb: 0.000 0.500 0.755



(2)
TcNi2PPd | PBE | optimized geometry

Values from the calculation:
Its space group is P4/mmm, No. 123. Its calculated total energy is -6.066 eV per atom. The value obtained for the magnetic moment is 4.198 μB per cell. As for the formation energy: 0.4403 eV per atom.

Unit cell a=4.171 b=4.489 c=4.171 alpha=90.00 beta=90.00 gamma=90.00
Last column: magnetic moment on the atom in μB.
Positions (direct):
Ni: 0.500 0.000 0.000  0.24
Ni: 0.000 0.000 0.500  0.16
Pd: 0.000 0.500 0.000  0.14
P: 0.000 0.000 0.000  0.01
Tc: 0.500 0.500 0.500  3.27



(3)
Th2Ni12P3Pd | PBE | optimized geometry

Values from the calculation:
Its space group is R-3m, No. 166. Its calculated total energy is -5.995 eV per atom. The value obtained for the magnetic moment is 0.000 μB per cell. As for the formation energy: -0.1267 eV per atom.

Unit cell a=6.842 b=6.842 c=6.842 alpha=71.51 beta=71.51 gamma=71.51
Positions (direct):
P: 0.000 0.000 0.500
P: 0.000 0.500 0.000
P: 0.500 0.000 0.000
Th: 0.621 0.621 0.621
Th: 0.379 0.379 0.379
Ni: 0.144 0.144 0.627
Ni: 0.285 0.285 0.848
Ni: 0.373 0.856 0.856
Ni: 0.285 0.848 0.285
Ni: 0.715 0.715 0.152
Ni: 0.144 0.627 0.144
Ni: 0.848 0.285 0.285
Ni: 0.856 0.373 0.856
Ni: 0.856 0.856 0.373
Ni: 0.152 0.715 0.715
Ni: 0.627 0.144 0.144
Ni: 0.715 0.152 0.715
Pd: 0.000 0.000 0.000



(4)
Th2Ni3P4Pd | PBE | optimized geometry

Values from the calculation:
Its space group is P-4m2, No. 115. Its calculated total energy is -6.901 eV per atom. The value obtained for the magnetic moment is 0.000 μB per cell. As for the formation energy: -0.9995 eV per atom.

Unit cell a=4.160 b=4.160 c=9.192 alpha=90.00 beta=90.00 gamma=90.00
Positions (direct):
P: 0.500 0.500 0.000
P: 0.000 0.500 0.359
P: 0.000 0.000 0.000
P: 0.500 0.000 0.641
Th: 0.000 0.500 0.756
Th: 0.500 0.000 0.244
Ni: 0.000 0.500 0.108
Ni: 0.000 0.000 0.500
Ni: 0.500 0.000 0.892
Pd: 0.500 0.500 0.500



(5)
Th2Ni4P3Pd | PBE | optimized geometry

Values from the calculation:
Its space group is P-4m2, No. 115. Its calculated total energy is -6.855 eV per atom. The value obtained for the magnetic moment is 0.000 μB per cell. As for the formation energy: -0.9160 eV per atom.

Unit cell a=3.971 b=3.971 c=9.889 alpha=90.00 beta=90.00 gamma=90.00
Positions (direct):
Ni: 0.000 0.500 0.347
Ni: 0.500 0.000 0.653
Ni: 0.500 0.500 0.000
Ni: 0.000 0.000 0.000
P: 0.500 0.000 0.877
P: 0.000 0.000 0.500
P: 0.000 0.500 0.123
Th: 0.500 0.000 0.246
Th: 0.000 0.500 0.754
Pd: 0.500 0.500 0.500



(6)
ThNiP2Pd2 | PBE | optimized geometry

Values from the calculation:
Its space group is I4/mmm, No. 139. Its calculated total energy is -6.216 eV per atom. The value obtained for the magnetic moment is 0.000 μB per cell. As for the formation energy: -0.4816 eV per atom.

Unit cell a=4.773 b=4.773 c=6.011 alpha=113.39 beta=113.39 gamma=90.00
Positions (direct):
Pd: 0.750 0.250 0.500
Pd: 0.250 0.750 0.500
Th: 0.500 0.500 0.000
P: 0.790 0.790 0.581
P: 0.210 0.210 0.419
Ni: 0.000 0.000 0.000



(7)
Tm2Ni12P3Pd | PBE | optimized geometry

Values from the calculation:
Its space group is R-3m, No. 166. Its calculated total energy is -5.668 eV per atom. The value obtained for the magnetic moment is 0.000 μB per cell. As for the formation energy: -0.1265 eV per atom.

Unit cell a=6.245 b=6.245 c=6.245 alpha=85.56 beta=85.56 gamma=85.56
Positions (direct):
Ni: 0.620 0.620 0.102
Ni: 0.320 0.817 0.817
Ni: 0.898 0.380 0.380
Ni: 0.102 0.620 0.620
Ni: 0.680 0.183 0.183
Ni: 0.817 0.320 0.817
Ni: 0.380 0.380 0.898
Ni: 0.380 0.898 0.380
Ni: 0.817 0.817 0.320
Ni: 0.620 0.102 0.620
Ni: 0.183 0.183 0.680
Ni: 0.183 0.680 0.183
P: 0.000 0.500 0.000
P: 0.500 0.000 0.000
P: 0.000 0.000 0.500
Pd: 0.000 0.000 0.000
Tm: 0.345 0.345 0.345
Tm: 0.655 0.655 0.655



(8)
U2Ni4P3Pd | PBE | optimized geometry

Values from the calculation:
Its space group is P-4m2, No. 115. Its calculated total energy is -7.349 eV per atom. The value obtained for the magnetic moment is 3.574 μB per cell. As for the formation energy: -0.6364 eV per atom.

Unit cell a=3.826 b=3.826 c=10.027 alpha=90.00 beta=90.00 gamma=90.00
Last column: magnetic moment on the atom in μB.
Positions (direct):
P: 0.000 0.500 0.125  -0.03
P: 0.000 0.000 0.500  -0.04
P: 0.500 0.000 0.875  -0.03
Pd: 0.500 0.500 0.500  -0.02
Ni: 0.000 0.500 0.343  -0.08
Ni: 0.000 0.000 0.000  -0.08
Ni: 0.500 0.500 0.000  -0.06
Ni: 0.500 0.000 0.657  -0.08
U: 0.500 0.000 0.244  1.84
U: 0.000 0.500 0.756  1.84



Q: Which value of magnetic moment does entry 1 give?
A: 0.000 μB per cell